This record from the Alexandria database describes a geometry-optimized TcPt2O2 structure. The functional is GGA-PBE.

## Properties
E_form (uncorrected) = 0.38 eV per atom
final energy = -0.224 Ha/atom
DOS at the Fermi energy = 0.72 states/eV/atom
relative energy among the computed polymorphs = 643 meV/atom

Lattice parameters (Å, degrees): 3.4506 3.4506 5.9489 73.14 73.14 90.00
Closest atoms and distances in Å follow each position.
Atoms (fractional coordinates):
1 O 0.7500 0.2500 0.5000  4 Pt 2.21, 4 O 2.44
2 O 0.2500 0.7500 0.5000  4 Pt 2.21, 4 O 2.44
3 Tc 0.0000 0.0000 0.0000  8 Pt 2.78
4 Pt 0.3779 0.3779 0.2442  4 O 2.21
5 Pt 0.6221 0.6221 0.7558  4 O 2.21